[1]
DySeS after structural relaxation. Source: Alexandria via LeMat-Bulk, functional PBE-GGA.

Results
Energy above the most stable polymorph in this dataset in kJ/mol of atoms: 17.53
M_tot in μB per cell: 0.00
Energy relative to the elements, uncorrected in eV per atom: -1.487

CIF file:
```
data_DySeS
_cell_length_a 7.2528
_cell_length_b 3.6635
_cell_length_c 10.6643
_cell_angle_alpha 90.00
_cell_angle_beta 90.00
_cell_angle_gamma 90.00
_space_group_name_H-M_alt 'P n m a'
_space_group_IT_number 62
_space_group_name_Hall '-P 2ac 2n'
loop_
_atom_site_label
_atom_site_type_symbol
_atom_site_fract_x
_atom_site_fract_y
_atom_site_fract_z
Dy1 Dy 0.2104 0.2500 0.1854
Se1 Se 0.1541 0.7500 0.9724
S1 S 0.0042 0.2500 0.6935
```

[2]
Dy4Se2S after structural relaxation. Source: Alexandria via LeMat-Bulk, functional PBE-GGA.

Results
M_tot in μB per cell: 0.00
Energy relative to the elements, uncorrected in eV per atom: -1.527

CIF file:
```
data_Dy4Se2S
_cell_length_a 7.9442
_cell_length_b 11.2545
_cell_length_c 3.9829
_cell_angle_alpha 90.00
_cell_angle_beta 90.00
_cell_angle_gamma 90.00
_space_group_name_H-M_alt 'C m m m'
_space_group_IT_number 65
_space_group_name_Hall '-C 2 2'
loop_
_atom_site_label
_atom_site_type_symbol
_atom_site_fract_x
_atom_site_fract_y
_atom_site_fract_z
Dy1 Dy 0.0000 0.2424 0.0000
Dy2 Dy 0.2438 0.0000 0.5000
Se1 Se 0.2500 0.2500 0.5000
S1 S 0.0000 0.0000 0.0000
```

[3]
DySeS2 after structural relaxation. Source: Alexandria via LeMat-Bulk, functional PBE-GGA.

Results
M_tot in μB per cell: 0.00
Energy relative to the elements, uncorrected in eV per atom: -0.970

CIF file:
```
data_DySeS2
_cell_length_a 4.2919
_cell_length_b 4.3028
_cell_length_c 9.4015
_cell_angle_alpha 90.00
_cell_angle_beta 90.06
_cell_angle_gamma 90.00
_space_group_name_H-M_alt 'P 1 21/m 1'
_space_group_IT_number 11
_space_group_name_Hall '-P 2yb'
loop_
_atom_site_label
_atom_site_type_symbol
_atom_site_fract_x
_atom_site_fract_y
_atom_site_fract_z
Dy1 Dy 0.2494 0.2500 0.1964
Se1 Se 0.2501 0.2500 0.8865
S1 S 0.2492 0.7500 0.3954
S2 S 0.2505 0.7500 0.6044
```

[4]
DySeS after structural relaxation. Source: Alexandria via LeMat-Bulk, functional PBE-GGA.

Results
Energy above the most stable polymorph in this dataset in kJ/mol of atoms: 33.62
M_tot in μB per cell: 0.00
Energy relative to the elements, uncorrected in eV per atom: -1.321

CIF file:
```
data_DySeS
_cell_length_a 3.6904
_cell_length_b 3.6904
_cell_length_c 9.4756
_cell_angle_alpha 90.00
_cell_angle_beta 90.00
_cell_angle_gamma 90.00
_space_group_name_H-M_alt 'I 4 m m'
_space_group_IT_number 107
_space_group_name_Hall 'I 4 -2'
loop_
_atom_site_label
_atom_site_type_symbol
_atom_site_fract_x
_atom_site_fract_y
_atom_site_fract_z
Dy1 Dy 0.0000 0.0000 0.0000
Se1 Se 0.0000 0.0000 0.3404
S1 S 0.0000 0.0000 0.6260
```

[5]
Dy2SeS after structural relaxation. Source: Alexandria via LeMat-Bulk, functional PBE-GGA.

Results
Energy above the most stable polymorph in this dataset in kJ/mol of atoms: 0.36
M_tot in μB per cell: 0.00
Energy relative to the elements, uncorrected in eV per atom: -1.887

CIF file:
```
data_Dy2SeS
_cell_length_a 3.9819
_cell_length_b 3.9819
_cell_length_c 19.6962
_cell_angle_alpha 90.00
_cell_angle_beta 90.00
_cell_angle_gamma 120.00
_space_group_name_H-M_alt 'R -3 m'
_space_group_IT_number 166
_space_group_name_Hall '-R 3 2"'
loop_
_atom_site_label
_atom_site_type_symbol
_atom_site_fract_x
_atom_site_fract_y
_atom_site_fract_z
Dy1 Dy 0.0000 0.0000 0.2410
Se1 Se 0.0000 0.0000 0.0000
S1 S 0.0000 0.0000 0.5000
```

[6]
Dy3Se2S2 after structural relaxation. Source: Alexandria via LeMat-Bulk, functional PBE-GGA.

Results
M_tot in μB per cell: 0.00
Energy relative to the elements, uncorrected in eV per atom: -1.985

CIF file:
```
data_Dy3Se2S2
_cell_length_a 3.9625
_cell_length_b 6.8199
_cell_length_c 7.0236
_cell_angle_alpha 80.68
_cell_angle_beta 89.96
_cell_angle_gamma 73.11
_space_group_name_H-M_alt 'P -1'
_space_group_IT_number 2
_space_group_name_Hall '-P 1'
loop_
_atom_site_label
_atom_site_type_symbol
_atom_site_fract_x
_atom_site_fract_y
_atom_site_fract_z
Dy1 Dy 0.0000 0.0000 0.0000
Dy2 Dy 0.2431 0.5145 0.7483
Se1 Se 0.1228 0.7527 0.3721
S1 S 0.3724 0.2550 0.1088
```

[7]
Dy3Se2S after structural relaxation. Source: Alexandria via LeMat-Bulk, functional PBE-GGA.

Results
Energy above the most stable polymorph in this dataset in kJ/mol of atoms: 4.19
M_tot in μB per cell: 0.00
Energy relative to the elements, uncorrected in eV per atom: -1.783

CIF file:
```
data_Dy3Se2S
_cell_length_a 3.9725
_cell_length_b 3.9725
_cell_length_c 20.3783
_cell_angle_alpha 90.00
_cell_angle_beta 90.00
_cell_angle_gamma 120.00
_space_group_name_H-M_alt 'P 63/m m c'
_space_group_IT_number 194
_space_group_name_Hall '-P 6c 2c'
loop_
_atom_site_label
_atom_site_type_symbol
_atom_site_fract_x
_atom_site_fract_y
_atom_site_fract_z
Dy1 Dy 0.0000 0.0000 0.0000
Dy2 Dy 0.3333 0.6667 0.1663
Se1 Se 0.3333 0.6667 0.5840
S1 S 0.0000 0.0000 0.2500
```

[8]
Dy4Se3S2 after structural relaxation. Source: Alexandria via LeMat-Bulk, functional PBE-GGA.

Results
Energy above the most stable polymorph in this dataset in kJ/mol of atoms: 0.00
M_tot in μB per cell: 0.00
Energy relative to the elements, uncorrected in eV per atom: -1.872

CIF file:
```
data_Dy4Se3S2
_cell_length_a 13.6522
_cell_length_b 3.8104
_cell_length_c 8.6045
_cell_angle_alpha 90.00
_cell_angle_beta 98.59
_cell_angle_gamma 90.00
_space_group_name_H-M_alt 'C 1 2/m 1'
_space_group_IT_number 12
_space_group_name_Hall '-C 2y'
loop_
_atom_site_label
_atom_site_type_symbol
_atom_site_fract_x
_atom_site_fract_y
_atom_site_fract_z
Dy1 Dy 0.0725 0.0000 0.1785
Dy2 Dy 0.1557 0.5000 0.6104
Se1 Se 0.0000 0.0000 0.5000
Se2 Se 0.0947 0.5000 0.9078
S1 S 0.2051 0.5000 0.3086
```